No. 1
LaNd2ReN4: optimized geometry, PBE-GGA.

The total energy comes out at -8.4229 eV per atom.

Lattice parameters (Å, degrees): 3.567 12.163 12.117 90.00 90.00 90.00
Space group Cmcm (No. 63)
Unique sites:
La: 0.000 0.116 0.250 x4
Nd: 0.000 0.368 0.040 x8
Re: 0.000 0.151 0.750 x4
N: 0.000 0.000 0.000 x4
N: 0.000 0.268 0.635 x8
N: 0.000 0.423 0.250 x4



No. 2
Nb7Mo2W2: optimized geometry, PBE-GGA.

The formation energy comes out at 2.41 eV/f.u.

Lattice parameters (Å, degrees): 6.387 8.810 7.427 90.00 107.02 90.00
Space group C2/m (No. 12)
Unique sites:
Nb: 0.000 0.000 0.000 x2
Nb: 0.202 0.000 0.447 x4
Nb: 0.206 0.295 0.177 x8
Mo: 0.094 0.500 0.829 x4
W: 0.000 0.264 0.500 x4



No. 3
ThGa7Ni2: optimized geometry, PBE-GGA.

The formation energy comes out at -0.80 eV/f.u.

Lattice parameters (Å, degrees): 7.652 12.965 4.192 90.00 90.00 90.00
Space group Cmmm (No. 65)
Unique sites:
Th: 0.000 0.000 0.000 x2
Ga: 0.000 0.244 0.000 x4
Ga: 0.000 0.500 0.500 x2
Ga: 0.192 0.148 0.500 x8
Ni: 0.000 0.321 0.500 x4



No. 4
RbTlSe2: optimized geometry, PBE-GGA.

The total energy comes out at -3.1514 eV per atom.

Lattice parameters (Å, degrees): 12.137 9.542 21.507 90.00 105.92 90.00
Space group C2/c (No. 15)
Unique sites:
Rb: 0.035 0.106 0.124 x8
Rb: 0.177 0.483 0.511 x8
Tl: 0.145 0.259 0.862 x8
Tl: 0.211 0.298 0.721 x8
Se: 0.000 0.112 0.750 x4
Se: 0.000 0.352 0.250 x4
Se: 0.005 0.221 0.961 x8
Se: 0.010 0.492 0.159 x8
Se: 0.193 0.170 0.593 x8



No. 5
ZrTcRu2: optimized geometry, PBE-GGA.

The formation energy comes out at 1.36 eV/f.u.

Lattice parameters (Å, degrees): 7.181 7.181 5.426 90.00 90.00 90.00
Space group I-42d (No. 122)
Unique sites:
Zr: 0.000 0.000 0.000 x4
Tc: 0.000 0.000 0.500 x4
Ru: 0.211 0.250 0.625 x8



No. 6
YGeAsSe2: optimized geometry, PBE-GGA.

The total energy comes out at -4.4668 eV per atom.

Lattice parameters (Å, degrees): 5.392 5.392 5.455 90.00 90.00 90.00
Space group P4/mmm (No. 123)
Unique sites:
Y: 0.000 0.000 0.000 x1
Ge: 0.500 0.500 0.500 x1
As: 0.000 0.000 0.500 x1
Se: 0.000 0.500 0.000 x2



No. 7
Sm8Rh3Br4Cl: optimized geometry, PBE-GGA.

The total energy comes out at -5.3552 eV per atom.

Lattice parameters (Å, degrees): 14.342 8.283 9.015 90.00 122.07 90.00
Space group C2/m (No. 12)
Unique sites:
Sm: 0.022 0.232 0.300 x8
Sm: 0.231 0.000 0.693 x4
Sm: 0.245 0.500 0.700 x4
Rh: 0.000 0.000 0.500 x2
Rh: 0.250 0.250 0.500 x4
Br: 0.000 0.000 0.000 x2
Br: 0.000 0.500 0.000 x2
Br: 0.250 0.250 0.000 x4
Cl: 0.000 0.500 0.500 x2



No. 8
Tb3Th5S8: optimized geometry, PBE-GGA.

The total energy comes out at -7.1476 eV per atom.

Lattice parameters (Å, degrees): 7.9262 7.9262 19.9535 90.00 90.00 120.00
Space group R-3m (No. 166, hexagonal axes)
Unique sites:
Tb: 0.0000 0.5000 0.0000 x9
Th: 0.0000 0.0000 0.0000 x3
Th: 0.0000 0.0000 0.5000 x3
Th: 0.0000 0.5000 0.5000 x9
S: 0.0000 0.0000 0.2546 x6
S: 0.0062 0.5031 0.2533 x18



No. 9
KPtSeN2: optimized geometry, PBE-GGA.

The total energy comes out at -2.8690 eV per atom.

Lattice parameters (Å, degrees): 4.600 4.600 6.317 90.00 90.00 90.00
Space group P4/mmm (No. 123)
Unique sites:
K: 0.000 0.000 0.000 x1
Pt: 0.500 0.500 0.500 x1
Se: 0.000 0.000 0.500 x1
N: 0.000 0.500 0.000 x2



No. 10
YTl2Hg: optimized geometry, PBE-GGA.

The formation energy comes out at -0.39 eV/f.u.

Lattice parameters (Å, degrees): 8.378 8.378 6.486 90.00 90.00 90.00
Space group I-42d (No. 122)
Unique sites:
Y: 0.000 0.000 0.000 x4
Tl: 0.230 0.750 0.625 x8
Hg: 0.000 0.000 0.500 x4



No. 11
Na2Zn4Cd5: optimized geometry, PBE-GGA.

The formation energy comes out at -0.02 eV/f.u.

Lattice parameters (Å, degrees): 12.824 5.773 8.866 90.00 133.65 90.00
Space group C2/m (No. 12)
Unique sites:
Na: 0.204 0.000 0.205 x4
Zn: 0.245 0.500 0.084 x4
Zn: 0.245 0.500 0.405 x4
Cd: 0.000 0.252 0.317 x8
Cd: 0.000 0.500 0.000 x2



No. 12
PuPa2Hg: optimized geometry, PBE-GGA.

The formation energy comes out at 0.27 eV/f.u.

Lattice parameters (Å, degrees): 5.416 5.416 3.269 90.00 90.00 90.00
Space group P4/mmm (No. 123)
Unique sites:
Pu: 0.000 0.000 0.000 x1
Pa: 0.000 0.500 0.500 x2
Hg: 0.500 0.500 0.000 x1



No. 13
Tb2NdOs: optimized geometry, PBE-GGA.

The formation energy comes out at 1.07 eV/f.u.

Lattice parameters (Å, degrees): 3.5213 3.5213 32.9259 90.00 90.00 120.00
Space group R-3m (No. 166, hexagonal axes)
Unique sites:
Tb: 0.0000 0.0000 0.1077 x6
Nd: 0.0000 0.0000 0.0000 x3
Os: 0.0000 0.0000 0.5000 x3



No. 14
YMo2P: optimized geometry, PBE-GGA.

The formation energy comes out at -1.16 eV/f.u.

Lattice parameters (Å, degrees): 4.2556 4.2556 14.8091 90.00 90.00 120.00
Space group R3m (No. 160, hexagonal axes)
Unique sites:
Y: 0.0000 0.0000 0.0000 x3
Mo: 0.0000 0.0000 0.5087 x3
Mo: 0.0000 0.0000 0.7922 x3
P: 0.0000 0.0000 0.2047 x3



No. 15
Ti2HRuRh: optimized geometry, PBE-GGA.

The total energy comes out at -7.6888 eV per atom.

Lattice parameters (Å, degrees): 4.218 4.218 3.493 90.00 90.00 90.00
Space group P4/mmm (No. 123)
Unique sites:
Ti: 0.000 0.500 0.000 x2
H: 0.000 0.000 0.000 x1
Ru: 0.500 0.500 0.500 x1
Rh: 0.000 0.000 0.500 x1



No. 16
TbCeDy3Ho: optimized geometry, PBE-GGA.

The formation energy comes out at 0.96 eV/f.u.

Lattice parameters (Å, degrees): 5.626 11.926 11.329 90.00 90.00 90.00
Space group Cmcm (No. 63)
Unique sites:
Tb: 0.000 0.000 0.000 x4
Ce: 0.000 0.472 0.250 x4
Dy: 0.000 0.144 0.750 x4
Dy: 0.000 0.327 0.528 x8
Ho: 0.000 0.171 0.250 x4



No. 17
Ba4SI4: optimized geometry, PBE-GGA.

The total energy comes out at -3.6436 eV per atom.

Lattice parameters (Å, degrees): 16.069 4.803 12.057 90.00 120.56 90.00
Space group C2/m (No. 12)
Unique sites:
Ba: 0.086 0.000 0.416 x4
Ba: 0.187 0.500 0.776 x4
S: 0.000 0.500 0.500 x2
I: 0.102 0.000 0.905 x4
I: 0.187 0.500 0.295 x4



No. 18
Al2InMo: optimized geometry, PBE-GGA.

The formation energy comes out at 0.02 eV/f.u.

Lattice parameters (Å, degrees): 3.798 4.066 8.752 90.00 90.00 90.00
Space group Imm2 (No. 44)
Unique sites:
Al: 0.000 0.000 0.000 x2
Al: 0.000 0.500 0.251 x2
In: 0.000 0.500 0.752 x2
Mo: 0.000 0.000 0.506 x2



No. 19
V4PdPt12: optimized geometry, PBE-GGA.

The formation energy comes out at -0.17 eV/f.u.

Lattice parameters (Å, degrees): 8.220 8.220 8.220 90.00 90.00 90.00
Space group Im-3m (No. 229)
Unique sites:
V: 0.250 0.250 0.250 x8
Pd: 0.000 0.000 0.000 x2
Pt: 0.000 0.000 0.296 x12
Pt: 0.000 0.250 0.500 x12



No. 20
TlFe3Ir: optimized geometry, PBE-GGA.

The formation energy comes out at 5.17 eV/f.u.

Lattice parameters (Å, degrees): 4.728 4.728 4.728 90.00 90.00 90.00
Space group Pm-3m (No. 221)
Unique sites:
Tl: 0.000 0.000 0.000 x1
Fe: 0.000 0.500 0.500 x3
Ir: 0.500 0.500 0.500 x1